Compound: FeS
Source: OQMD
Functional: GGA-PBE
Structure: relaxed

a = 5.1629 Å, b = 3.3105 Å, c = 5.5584 Å
α = 90.00°, β = 90.00°, γ = 90.00°
Fractional positions:
Fe 0.0091 0.2500 0.2036
Fe 0.4909 0.7500 0.7036
Fe 0.5091 0.2500 0.2964
Fe 0.9909 0.7500 0.7964
S 0.2143 0.2500 0.5845
S 0.2857 0.7500 0.0845
S 0.7143 0.2500 0.9155
S 0.7857 0.7500 0.4155

crystal system	orthorhombic
density	6.15	Mg/m³
raw total energy	-6.5036	eV per atom
space-group type	Pnma, No. 62